# 1
Al2AgGeBr: relaxed, GGA-PBEsol.

abc: 5.136 5.136 5.064
angles: 90.00 90.00 90.00
Fractional coordinates of all 5 atoms:
Al (0.000, 0.500, 0.000)
Al (0.500, 0.000, 0.000)
Ag (0.000, 0.000, 0.500)
Ge (0.500, 0.500, 0.500)
Br (0.500, 0.500, 0.000)

* VASP energy: -2.64 eV per atom
* uncorrected formation energy: 1017 meV/atom
* crystal system: tetragonal
* total magnetic moment: 0.0 μB/cell
* V: 26.72 Å³/atom

---

# 2
K3TbCl6: relaxed, GGA-PBEsol.

abc: 7.794 7.794 7.794
angles: 60.00 60.00 60.00
Fractional coordinates of all 10 atoms:
K (0.000, 0.000, 0.000)
K (0.250, 0.250, 0.250)
K (0.750, 0.750, 0.750)
Tb (0.500, 0.500, 0.500)
Cl (0.264, 0.264, 0.736)
Cl (0.264, 0.736, 0.264)
Cl (0.264, 0.736, 0.736)
Cl (0.736, 0.264, 0.264)
Cl (0.736, 0.264, 0.736)
Cl (0.736, 0.736, 0.264)

* VASP energy: -4.08 eV per atom
* uncorrected formation energy: -2033 meV/atom
* crystal system: cubic
* total magnetic moment: 0.0 μB/cell
* V: 33.48 Å³/atom

---

# 3
MgCuMo2O7: relaxed, GGA-PBEsol.

abc: 9.229 8.660 10.925
angles: 90.00 102.77 90.00
Fractional coordinates of all 66 atoms:
Mg (0.000, 0.080, 0.250)
Mg (0.000, 0.920, 0.750)
Mg (0.342, 0.424, 0.918)
Mg (0.342, 0.576, 0.418)
Mg (0.658, 0.424, 0.582)
Mg (0.658, 0.576, 0.082)
Cu (0.000, 0.432, 0.250)
Cu (0.000, 0.568, 0.750)
Cu (0.323, 0.067, 0.912)
Cu (0.323, 0.933, 0.412)
Cu (0.677, 0.067, 0.588)
Cu (0.677, 0.933, 0.088)
Mo (0.039, 0.262, 0.958)
Mo (0.039, 0.738, 0.458)
Mo (0.299, 0.243, 0.206)
Mo (0.299, 0.757, 0.706)
Mo (0.367, 0.245, 0.628)
Mo (0.367, 0.755, 0.128)
Mo (0.633, 0.245, 0.872)
Mo (0.633, 0.755, 0.372)
Mo (0.701, 0.243, 0.294)
Mo (0.701, 0.757, 0.794)
Mo (0.961, 0.262, 0.542)
Mo (0.961, 0.738, 0.042)
O (0.047, 0.080, 0.890)
O (0.047, 0.920, 0.390)
O (0.057, 0.265, 0.136)
O (0.057, 0.735, 0.636)
O (0.098, 0.426, 0.881)
O (0.098, 0.574, 0.381)
O (0.165, 0.285, 0.587)
O (0.165, 0.715, 0.087)
O (0.233, 0.083, 0.284)
O (0.233, 0.917, 0.784)
O (0.279, 0.248, 0.029)
O (0.279, 0.752, 0.529)
O (0.305, 0.427, 0.272)
O (0.305, 0.573, 0.772)
O (0.375, 0.066, 0.555)
O (0.375, 0.934, 0.055)
O (0.390, 0.236, 0.807)
O (0.390, 0.764, 0.307)
O (0.419, 0.411, 0.548)
O (0.419, 0.589, 0.048)
O (0.500, 0.197, 0.250)
O (0.500, 0.803, 0.750)
O (0.581, 0.411, 0.952)
O (0.581, 0.589, 0.452)
O (0.610, 0.236, 0.693)
O (0.610, 0.764, 0.193)
O (0.625, 0.066, 0.945)
O (0.625, 0.934, 0.445)
O (0.695, 0.427, 0.228)
O (0.695, 0.573, 0.728)
O (0.721, 0.248, 0.471)
O (0.721, 0.752, 0.971)
O (0.767, 0.083, 0.216)
O (0.767, 0.917, 0.716)
O (0.835, 0.285, 0.913)
O (0.835, 0.715, 0.413)
O (0.902, 0.426, 0.619)
O (0.902, 0.574, 0.119)
O (0.943, 0.265, 0.364)
O (0.943, 0.735, 0.864)
O (0.953, 0.080, 0.610)
O (0.953, 0.920, 0.110)

* VASP energy: -7.89 eV per atom
* uncorrected formation energy: -1863 meV/atom
* crystal system: monoclinic
* total magnetic moment: 5.3 μB/cell
* V: 12.90 Å³/atom